1.
A geometry-optimized Np4Ge12Os structure. Source: Alexandria via LeMat-Bulk, functional PBE-GGA.

The structure in extended XYZ format:
```
17
Lattice="7.035 0.000 -2.487 -3.517 6.092 -2.487 0.000 0.000 7.461" Properties=species:S:1:pos:R:3 pbc="T T T"
Ge 3.517 3.046 -1.244
Ge 2.492 4.316 -3.524
Ge 2.638 1.523 3.731
Ge 0.000 3.046 3.731
Ge 1.025 1.776 -1.450
Ge 2.051 0.000 1.450
Ge 0.879 4.569 -1.244
Ge -1.025 1.776 1.450
Ge 4.397 1.523 1.244
Ge -2.492 4.316 3.524
Ge 4.984 0.000 3.524
Ge -0.879 4.569 1.244
Np 1.759 3.046 1.244
Np 3.517 0.000 -1.244
Np -1.759 3.046 -1.244
Np 0.000 0.000 3.731
Os 0.000 0.000 0.000
```

Values from the calculation:
DFT formation energy (meV/atom): -156
SG: Im-3m
DOS(E_F) (states/eV/atom): 2.03

=====

2.
A geometry-optimized Np2GeOs structure. Source: Alexandria via LeMat-Bulk, functional PBE-GGA.

The structure in extended XYZ format:
```
4
Lattice="-1.584 0.981 -4.173 2.903 -1.993 -1.571 -2.157 -3.195 0.067" Properties=species:S:1:pos:R:3 pbc="T T T"
Np -1.078 -1.598 0.034
Np 1.452 -0.996 -0.785
Ge -0.419 -2.103 -2.838
Os -0.792 0.491 -2.087
```

Values from the calculation:
DFT formation energy (meV/atom): 98
SG: P4/mmm
DOS(E_F) (states/eV/atom): 2.09
Offset from the most stable computed form (eV/f.u.): 0.65

=====

3.
A geometry-optimized Np3Ge3Os2 structure. Source: Alexandria via LeMat-Bulk, functional PBE-GGA.

The structure in extended XYZ format:
```
32
Lattice="-3.318 -4.385 0.218 0.289 -0.609 -7.860 11.666 -8.772 1.108" Properties=species:S:1:pos:R:3 pbc="T T T"
Np 0.233 -3.250 -7.385
Np 8.404 -10.516 0.851
Np 4.282 -9.566 -3.333
Np 5.079 -8.017 0.535
Np 7.606 -12.066 -3.017
Np 1.030 -1.700 -3.516
Np 3.557 -5.750 -7.069
Np 7.786 -8.508 -4.291
Np 0.851 -5.259 -2.243
Np 4.355 -4.200 -3.201
Np 0.345 -6.422 -6.130
Np 8.291 -7.344 -0.404
Ge 1.957 -4.137 -5.008
Ge 10.959 -9.033 -0.353
Ge 10.139 -10.612 -4.220
Ge 3.505 -6.920 -1.838
Ge 6.680 -9.629 -1.526
Ge 2.685 -8.499 -5.705
Ge -1.503 -3.155 -2.314
Ge 5.131 -6.846 -4.696
Ge 5.951 -5.268 -0.829
Ge 2.467 -2.968 -1.121
Ge -2.322 -4.733 -6.181
Ge 6.169 -10.799 -5.413
Os -0.564 -4.125 -4.459
Os -1.525 -4.900 -0.476
Os 2.583 -6.491 -4.160
Os 9.200 -9.641 -2.075
Os 7.014 -6.500 -6.357
Os 1.622 -7.266 -0.177
Os 10.161 -8.866 -6.058
Os 6.053 -7.275 -2.373
```

Values from the calculation:
DFT formation energy (meV/atom): -108
SG: Pnma
DOS(E_F) (states/eV/atom): 2.25

=====

4.
A geometry-optimized PuNpGeOs structure. Source: Alexandria via LeMat-Bulk, functional PBE-GGA.

The structure in extended XYZ format:
```
4
Lattice="4.763 0.000 0.000 2.382 4.125 0.000 2.382 1.375 3.889" Properties=species:S:1:pos:R:3 pbc="T T T"
Pu 7.145 4.125 2.917
Np 4.763 2.750 1.945
Ge 0.000 0.000 0.000
Os 2.382 1.375 0.972
```

Values from the calculation:
DFT formation energy (meV/atom): -46
SG: F-43m
DOS(E_F) (states/eV/atom): 1.36

=====

5.
A geometry-optimized NpGe4OsRh2 structure. Source: Alexandria via LeMat-Bulk, functional PBE-GGA.

The structure in extended XYZ format:
```
8
Lattice="4.213 0.000 0.000 2.106 3.648 0.000 2.106 1.216 8.753" Properties=species:S:1:pos:R:3 pbc="T T T"
Ge 4.213 2.432 7.119
Ge 4.213 2.432 1.634
Ge 6.319 3.648 3.398
Ge 2.106 1.216 5.356
Rh 2.106 1.216 2.628
Rh 6.319 3.648 6.126
Np 0.000 0.000 0.000
Os 4.213 2.432 4.377
```

Values from the calculation:
DFT formation energy (meV/atom): -229
SG: R-3m
DOS(E_F) (states/eV/atom): 1.23

=====

6.
A geometry-optimized NpGe2OsRu structure. Source: Alexandria via LeMat-Bulk, functional PBE-GGA.

The structure in extended XYZ format:
```
5
Lattice="4.243 0.000 0.000 0.000 4.243 0.000 -2.122 -2.122 4.995" Properties=species:S:1:pos:R:3 pbc="T T T"
Ge 0.000 0.000 3.732
Ge 2.122 2.122 1.263
Os 0.000 2.122 2.498
Ru 2.122 0.000 2.498
Np 0.000 0.000 0.000
```

Values from the calculation:
DFT formation energy (meV/atom): -200
SG: I-4m2
DOS(E_F) (states/eV/atom): 2.60

=====

7.
A geometry-optimized NpTcGe2Os structure. Source: Alexandria via LeMat-Bulk, functional PBE-GGA.

The structure in extended XYZ format:
```
5
Lattice="4.236 0.000 0.000 0.000 4.236 0.000 -2.118 -2.118 5.042" Properties=species:S:1:pos:R:3 pbc="T T T"
Os 2.118 0.000 2.521
Tc 0.000 2.118 2.521
Np 0.000 0.000 0.000
Ge 0.000 0.000 3.793
Ge 2.118 2.118 1.249
```

Values from the calculation:
DFT formation energy (meV/atom): -102
SG: I-4m2
DOS(E_F) (states/eV/atom): 2.42

=====

8.
A geometry-optimized NpUGeOs structure. Source: Alexandria via LeMat-Bulk, functional PBE-GGA.

The structure in extended XYZ format:
```
4
Lattice="4.745 0.000 0.000 2.373 4.110 0.000 2.373 1.370 3.875" Properties=species:S:1:pos:R:3 pbc="T T T"
Os 4.745 2.740 1.937
Ge 2.373 1.370 0.969
Np 0.000 0.000 0.000
U 7.118 4.110 2.906
```

Values from the calculation:
DFT formation energy (meV/atom): 47
SG: F-43m
DOS(E_F) (states/eV/atom): 1.96

=====

9.
A geometry-optimized Np3GeP6 structure. Source: Alexandria via LeMat-Bulk, functional PBE-GGA.

The structure in extended XYZ format:
```
20
Lattice="-5.705 0.956 -2.505 -3.531 -1.122 7.613 1.493 8.331 -0.221" Properties=species:S:1:pos:R:3 pbc="T T T"
P -7.250 -0.236 5.724
P -3.385 1.062 5.523
P -5.139 5.555 2.997
P -5.856 0.763 2.413
P 0.371 8.257 -0.458
P -4.503 3.304 0.689
P -1.395 7.320 2.689
P -3.369 6.938 -0.203
P -2.469 4.732 4.535
P -0.656 4.703 0.005
P -6.596 3.380 5.097
P -1.833 2.481 2.228
Ge -5.629 1.252 4.719
Ge 0.274 6.513 1.215
Np -2.768 5.036 1.818
Np -4.800 5.410 5.665
Np -6.662 7.753 2.866
Np -6.731 3.424 2.297
Np -3.502 0.818 0.957
Np -5.364 3.161 -1.842
```

Values from the calculation:
DFT formation energy (meV/atom): -308
SG: Cmc2_1
DOS(E_F) (states/eV/atom): 2.57

=====

10.
A geometry-optimized NpGeP2 structure. Source: Alexandria via LeMat-Bulk, functional PBE-GGA.

The structure in extended XYZ format:
```
4
Lattice="3.729 0.000 0.000 0.000 4.273 0.000 0.000 0.000 4.273" Properties=species:S:1:pos:R:3 pbc="T T T"
P 0.000 2.137 0.000
P 0.000 0.000 2.137
Np 1.864 2.137 2.137
Ge 1.864 0.000 0.000
```

Values from the calculation:
DFT formation energy (meV/atom): -364
SG: P4/mmm
DOS(E_F) (states/eV/atom): 1.85
Offset from the most stable computed form (eV/f.u.): 0.00

=====

11.
A geometry-optimized Np2GeP4 structure. Source: Alexandria via LeMat-Bulk, functional PBE-GGA.

The structure in extended XYZ format:
```
7
Lattice="-0.475 -5.648 -1.931 3.600 -1.817 4.426 -4.502 3.232 0.938" Properties=species:S:1:pos:R:3 pbc="T T T"
Np -1.707 -3.074 0.128
Np 0.330 -1.158 3.306
Ge -1.377 -4.232 3.433
P 2.202 -5.261 1.759
P 0.922 -2.204 0.737
P 2.396 -2.948 2.548
P 0.728 -4.516 -0.053
```

Values from the calculation:
DFT formation energy (meV/atom): -332
SG: I4/mmm
DOS(E_F) (states/eV/atom): 2.41

=====

12.
A geometry-optimized NpGeP3 structure. Source: Alexandria via LeMat-Bulk, functional PBE-GGA.

The structure in extended XYZ format:
```
20
Lattice="-5.104 2.538 -0.723 -2.278 -4.847 -0.934 -2.143 -1.139 11.132" Properties=species:S:1:pos:R:3 pbc="T T T"
P -7.649 -3.751 6.590
P -2.778 -4.204 4.858
P -2.859 -2.481 0.059
P -3.975 -2.632 7.412
P -5.979 -2.421 -0.535
P -4.194 -0.513 4.978
P -6.666 -0.967 9.415
P -3.545 -1.027 10.010
P -1.642 -1.782 5.339
P -1.875 0.303 2.884
P -5.549 -0.816 2.063
P -5.330 -2.935 4.497
Np -3.084 -2.151 2.805
Np -6.441 -1.297 6.670
Np -6.767 -3.288 1.980
Np -2.758 -0.160 7.495
Ge -6.198 -3.396 9.007
Ge -0.774 -1.320 0.829
Ge -3.646 -4.665 9.368
Ge -3.326 -0.052 0.468
```

Values from the calculation:
DFT formation energy (meV/atom): -127
SG: Pbcm
DOS(E_F) (states/eV/atom): 1.71

=====

13.
A geometry-optimized NpGeP2 structure. Source: Alexandria via LeMat-Bulk, functional PBE-GGA.

The structure in extended XYZ format:
```
4
Lattice="-0.301 1.659 -3.510 0.502 -2.140 -3.215 -6.301 -1.514 -2.335" Properties=species:S:1:pos:R:3 pbc="T T T"
Np -3.050 -0.997 -4.530
P -4.531 -1.487 -6.795
P -1.569 -0.508 -2.266
Ge 0.000 0.000 0.000
```

Values from the calculation:
DFT formation energy (meV/atom): -195
SG: R-3m
DOS(E_F) (states/eV/atom): 1.83
Offset from the most stable computed form (eV/f.u.): 0.67

=====

14.
A geometry-optimized NpGe2P structure. Source: Alexandria via LeMat-Bulk, functional PBE-GGA.

The structure in extended XYZ format:
```
4
Lattice="4.484 0.000 0.000 0.000 3.989 0.000 0.000 0.000 3.989" Properties=species:S:1:pos:R:3 pbc="T T T"
Ge 0.000 0.000 1.995
Ge 0.000 1.995 0.000
P 2.242 0.000 0.000
Np 2.242 1.995 1.995
```

Values from the calculation:
DFT formation energy (meV/atom): -298
SG: P4/mmm
DOS(E_F) (states/eV/atom): 2.18

=====

15.
A geometry-optimized NpGeP2 structure. Source: Alexandria via LeMat-Bulk, functional PBE-GGA.

The structure in extended XYZ format:
```
4
Lattice="-0.015 3.774 1.547 0.234 0.551 4.035 5.763 1.610 1.507" Properties=species:S:1:pos:R:3 pbc="T T T"
Ge 3.198 2.973 3.532
P 1.338 1.479 1.782
P 4.296 1.566 1.598
Np 5.905 4.493 5.228
```

Values from the calculation:
DFT formation energy (meV/atom): -200
SG: R3m
DOS(E_F) (states/eV/atom): 1.99
Offset from the most stable computed form (eV/f.u.): 0.66

=====

16.
A geometry-optimized Np4GeP structure. Source: Alexandria via LeMat-Bulk, functional PBE-GGA.

The structure in extended XYZ format:
```
6
Lattice="3.331 0.012 1.239 1.862 5.828 0.055 -0.277 -1.662 5.882" Properties=species:S:1:pos:R:3 pbc="T T T"
Np 0.774 -0.039 3.029
Np 3.405 1.639 6.152
Np 1.510 2.539 1.023
Np 4.142 4.218 4.146
P 2.458 2.089 3.588
Ge 3.331 0.012 1.238
```

Values from the calculation:
DFT formation energy (meV/atom): -249
SG: C2/m
DOS(E_F) (states/eV/atom): 2.43

=====

17.
A geometry-optimized Np2GePPt6 structure. Source: Alexandria via LeMat-Bulk, functional PBE-GGA.

The structure in extended XYZ format:
```
20
Lattice="-3.930 -0.484 -3.844 1.228 -8.563 -0.177 -5.637 -0.930 5.880" Properties=species:S:1:pos:R:3 pbc="T T T"
Pt -3.204 -4.739 1.895
Pt -5.172 -4.982 -0.030
Pt -3.283 -1.585 -0.405
Pt -5.968 -2.028 2.396
Pt -2.609 -8.967 1.796
Pt -3.224 -8.172 4.325
Pt -0.352 -4.531 -1.054
Pt -0.272 -7.685 1.246
Pt -2.931 -0.547 -2.896
Pt -4.554 -9.207 -0.107
Pt -2.314 -4.772 -2.973
Pt -0.946 -0.303 -0.955
P 0.896 -6.246 -0.129
P -4.451 -3.024 0.970
Np -1.055 -2.491 1.392
Np -2.500 -6.779 -0.551
Np -5.259 -7.235 2.327
Np -3.933 -2.966 4.394
Ge -1.624 -2.622 -1.971
Ge -1.932 -6.648 2.812
```

Values from the calculation:
DFT formation energy (meV/atom): -533
SG: Pmmn
DOS(E_F) (states/eV/atom): 2.32

=====

18.
A geometry-optimized NpGe2P2Pt7 structure. Source: Alexandria via LeMat-Bulk, functional PBE-GGA.

The structure in extended XYZ format:
```
12
Lattice="3.904 0.015 -0.013 0.020 3.904 -0.013 1.937 1.935 15.029" Properties=species:S:1:pos:R:3 pbc="T T T"
Pt 2.022 2.019 5.971
Pt 3.882 1.935 12.696
Pt 1.962 1.960 -0.013
Pt 3.840 3.835 9.032
Pt 3.922 1.975 2.307
Pt 1.980 3.920 2.307
Pt 1.939 3.879 12.696
Np 0.000 0.000 0.000
Ge 3.820 3.815 6.481
Ge 2.042 2.039 8.522
P 3.886 3.882 11.335
P 1.975 1.973 3.669
```

Values from the calculation:
DFT formation energy (meV/atom): -419
SG: C2/m
DOS(E_F) (states/eV/atom): 0.96

=====

19.
A geometry-optimized Np2GeP3Rh4 structure. Source: Alexandria via LeMat-Bulk, functional PBE-GGA.

The structure in extended XYZ format:
```
10
Lattice="-3.825 0.412 1.363 0.819 -2.561 3.071 2.835 7.669 5.640" Properties=species:S:1:pos:R:3 pbc="T T T"
Np -1.204 2.124 2.092
Np 2.536 4.471 5.765
Rh -1.503 -1.075 2.217
Rh 1.459 1.558 3.623
Rh 0.000 0.000 0.000
Rh -0.127 5.036 4.234
P 0.534 6.824 5.549
P 0.798 -0.230 2.308
P 1.418 3.835 2.820
Ge -0.086 2.760 5.037
```

Values from the calculation:
DFT formation energy (meV/atom): -699
SG: P-4m2
DOS(E_F) (states/eV/atom): 2.08

=====

20.
A geometry-optimized NpTc2Ge2P structure. Source: Alexandria via LeMat-Bulk, functional PBE-GGA.

The structure in extended XYZ format:
```
6
Lattice="-0.761 2.622 -3.502 -3.942 1.130 1.703 2.357 4.226 2.652" Properties=species:S:1:pos:R:3 pbc="T T T"
Ge -1.696 3.052 -0.162
Ge -0.650 4.927 1.015
Tc -1.971 0.565 0.852
Tc -0.381 1.311 -1.751
Np 1.179 2.113 1.326
P 0.000 0.000 0.000
```

Values from the calculation:
DFT formation energy (meV/atom): -137
SG: P4/mmm
DOS(E_F) (states/eV/atom): 2.34

=====

21.
A geometry-optimized NpPaGe structure. Source: Alexandria via LeMat-Bulk, functional PBE-GGA.

The structure in extended XYZ format:
```
3
Lattice="3.173 0.000 0.000 0.000 4.809 0.000 0.000 -2.405 4.165" Properties=species:S:1:pos:R:3 pbc="T T T"
Pa 0.939 0.000 2.777
Ge 2.206 2.405 1.388
Np 0.028 0.000 0.000
```

Values from the calculation:
DFT formation energy (meV/atom): 14
SG: P3m1
DOS(E_F) (states/eV/atom): 2.16

=====

22.
A geometry-optimized NpPa2Ge structure. Source: Alexandria via LeMat-Bulk, functional PBE-GGA.

The structure in extended XYZ format:
```
4
Lattice="5.000 0.000 0.000 2.500 4.330 0.000 2.500 1.443 4.083" Properties=species:S:1:pos:R:3 pbc="T T T"
Pa 2.500 1.443 1.021
Pa 7.500 4.330 3.062
Ge 0.000 0.000 0.000
Np 5.000 2.887 2.041
```

Values from the calculation:
DFT formation energy (meV/atom): -1
SG: Fm-3m
DOS(E_F) (states/eV/atom): 1.79
Offset from the most stable computed form (eV/f.u.): 0.71

=====

23.
A geometry-optimized Np2PaGe structure. Source: Alexandria via LeMat-Bulk, functional PBE-GGA.

The structure in extended XYZ format:
```
4
Lattice="4.463 0.000 0.000 0.000 4.359 0.000 0.000 0.000 4.359" Properties=species:S:1:pos:R:3 pbc="T T T"
Pa 2.231 0.000 0.000
Np 0.000 2.180 0.000
Np 0.000 0.000 2.180
Ge 2.231 2.180 2.180
```

Values from the calculation:
DFT formation energy (meV/atom): -27
SG: P4/mmm
DOS(E_F) (states/eV/atom): 3.28
Offset from the most stable computed form (eV/f.u.): 0.00

=====

24.
A geometry-optimized NpPa2Ge structure. Source: Alexandria via LeMat-Bulk, functional PBE-GGA.

The structure in extended XYZ format:
```
4
Lattice="3.061 0.000 0.000 1.531 2.651 0.000 1.531 0.884 10.763" Properties=species:S:1:pos:R:3 pbc="T T T"
Pa 4.591 2.651 2.809
Pa 1.531 0.884 7.953
Ge 3.061 1.767 5.381
Np 0.000 0.000 0.000
```

Values from the calculation:
DFT formation energy (meV/atom): 232
SG: R-3m
DOS(E_F) (states/eV/atom): 2.10
Offset from the most stable computed form (eV/f.u.): 1.64

=====

no.,mass density (g/cm³)
1,10.4
2,18.0
3,13.7
4,16.2
5,11.4
6,12.4
7,12.3
8,16.2
9,7.3
10,9.1
11,8.4
12,7.5
13,7.2
14,9.6
15,7.5
16,15.5
17,14.8
18,13.1
19,10.5
20,9.3
21,14.1
22,14.5
23,15.2
24,14.7